--- i ---
Compound: ScNb2Tc
Source: Alexandria via LeMat-Bulk
Functional: PBE
Structure: optimized geometry Values from VASP.

```
&SYSTEM
  ibrav = 0, nat = 4, ntyp = 3
/
ATOMIC_SPECIES
Sc 44.96 Sc.upf
Nb 92.91 Nb.upf
Tc 98.00 Tc.upf
ATOMIC_POSITIONS crystal
Sc 0.500 0.500 0.500
Nb 0.250 0.250 0.250
Nb 0.750 0.750 0.750
Tc 0.000 0.000 0.000
CELL_PARAMETERS angstrom
-1.941 -3.382 2.501
2.543 -3.625 1.361
1.109 -0.504 4.469
```

Space group ... Fm-3m
Magnetization ... 0.00 Bohr magnetons per cell


--- ii ---
Compound: ScNb2Tc
Source: Alexandria via LeMat-Bulk
Functional: PBE
Structure: optimized geometry Values from VASP.

```
&SYSTEM
  ibrav = 0, nat = 4, ntyp = 3
/
ATOMIC_SPECIES
Sc 44.96 Sc.upf
Nb 92.91 Nb.upf
Tc 98.00 Tc.upf
ATOMIC_POSITIONS crystal
Sc 0.500 0.500 0.500
Nb 0.000 0.000 0.783
Nb 0.000 0.000 0.217
Tc 0.500 0.500 0.000
CELL_PARAMETERS angstrom
3.190 0.000 0.000
0.000 3.190 0.000
0.000 0.000 7.177
```

Space group ... P4/mmm
Magnetization ... 0.00 Bohr magnetons per cell


Least stable = i


--- i ---
Compound: ScNbTe2
Source: Alexandria via LeMat-Bulk
Functional: PBE
Structure: optimized geometry Values from VASP.

```
&SYSTEM
  ibrav = 0, nat = 4, ntyp = 3
/
ATOMIC_SPECIES
Sc 44.96 Sc.upf
Nb 92.91 Nb.upf
Te 127.60 Te.upf
ATOMIC_POSITIONS crystal
Sc 0.000 0.000 0.000
Nb 0.500 0.500 0.500
Te 0.899 0.899 0.899
Te 0.101 0.101 0.101
CELL_PARAMETERS angstrom
2.069 0.000 9.599
-1.034 1.792 9.599
-1.034 -1.792 9.599
```

Space group ... R-3m
Magnetization ... 0.00 Bohr magnetons per cell


--- ii ---
Compound: ScNbTe2
Source: Alexandria via LeMat-Bulk
Functional: PBE
Structure: optimized geometry Values from VASP.

```
&SYSTEM
  ibrav = 0, nat = 4, ntyp = 3
/
ATOMIC_SPECIES
Sc 44.96 Sc.upf
Nb 92.91 Nb.upf
Te 127.60 Te.upf
ATOMIC_POSITIONS crystal
Sc 0.000 0.000 0.000
Nb 0.500 0.500 0.500
Te 0.250 0.250 0.250
Te 0.750 0.750 0.750
CELL_PARAMETERS angstrom
0.000 3.501 3.501
3.501 0.000 3.501
3.501 3.501 0.000
```

Space group ... Fm-3m
Magnetization ... 0.00 Bohr magnetons per cell


Least stable = i


--- i ---
Compound: Sc2Nb2Te
Source: Alexandria via LeMat-Bulk
Functional: PBE
Structure: optimized geometry Values from VASP.

```
&SYSTEM
  ibrav = 0, nat = 5, ntyp = 3
/
ATOMIC_SPECIES
Sc 44.96 Sc.upf
Nb 92.91 Nb.upf
Te 127.60 Te.upf
ATOMIC_POSITIONS crystal
Sc 0.750 0.250 0.500
Sc 0.250 0.750 0.500
Nb 0.409 0.409 0.181
Nb 0.591 0.591 0.819
Te 0.000 0.000 0.000
CELL_PARAMETERS angstrom
-1.488 -1.832 3.238
-1.854 -2.658 -2.356
4.001 -6.419 0.687
```

Space group ... I4/mmm
Magnetization ... 0.00 Bohr magnetons per cell


--- ii ---
Compound: Sc2Nb2Te
Source: Alexandria via LeMat-Bulk
Functional: PBE
Structure: optimized geometry Values from VASP.

```
&SYSTEM
  ibrav = 0, nat = 10, ntyp = 3
/
ATOMIC_SPECIES
Sc 44.96 Sc.upf
Nb 92.91 Nb.upf
Te 127.60 Te.upf
ATOMIC_POSITIONS crystal
Sc 0.166 0.666 0.500
Sc 0.666 0.834 0.500
Sc 0.834 0.334 0.500
Sc 0.334 0.166 0.500
Nb 0.373 0.873 0.000
Nb 0.873 0.627 0.000
Nb 0.627 0.127 0.000
Nb 0.127 0.373 0.000
Te 0.000 0.000 0.000
Te 0.500 0.500 0.000
CELL_PARAMETERS angstrom
7.200 0.000 0.000
0.000 7.200 0.000
0.000 0.000 4.253
```

Space group ... P4/mbm
Magnetization ... 0.00 Bohr magnetons per cell


Least stable = i


--- i ---
Compound: Sc3NbTe
Source: Alexandria via LeMat-Bulk
Functional: PBE
Structure: optimized geometry Values from VASP.

```
&SYSTEM
  ibrav = 0, nat = 5, ntyp = 3
/
ATOMIC_SPECIES
Sc 44.96 Sc.upf
Nb 92.91 Nb.upf
Te 127.60 Te.upf
ATOMIC_POSITIONS crystal
Sc 0.000 0.500 0.000
Sc 0.000 0.000 0.500
Sc 0.500 0.000 0.000
Nb 0.000 0.000 0.000
Te 0.500 0.500 0.500
CELL_PARAMETERS angstrom
5.126 0.000 0.000
0.000 5.126 0.000
0.000 0.000 5.126
```

Space group ... Pm-3m
Magnetization ... 0.00 Bohr magnetons per cell


--- ii ---
Compound: Sc3NbTe
Source: Alexandria via LeMat-Bulk
Functional: PBE
Structure: optimized geometry Values from VASP.

```
&SYSTEM
  ibrav = 0, nat = 5, ntyp = 3
/
ATOMIC_SPECIES
Sc 44.96 Sc.upf
Nb 92.91 Nb.upf
Te 127.60 Te.upf
ATOMIC_POSITIONS crystal
Sc 0.000 0.500 0.000
Sc 0.000 0.000 0.500
Sc 0.500 0.000 0.000
Nb 0.500 0.500 0.500
Te 0.000 0.000 0.000
CELL_PARAMETERS angstrom
5.203 0.000 0.000
0.000 5.203 0.000
0.000 0.000 5.203
```

Space group ... Pm-3m
Magnetization ... 0.00 Bohr magnetons per cell


Least stable = ii